Entry 1:
! Co12Tc17 SCAN PBEsol geometry; values from VASP
! * V: 360.1 Å³/cell
! * size of the total moment: 0.724 μB per atom
! * formation energy: 0.0542 eV per atom
! * Fermi-level density of states: 0.734 states/eV per atom
&SYSTEM
  ibrav = 0, nat = 29, ntyp = 2
/
ATOMIC_SPECIES
Co 58.93 Co.upf
Tc 98.00 Tc.upf
ATOMIC_POSITIONS crystal
Co 0.0000 0.6361 0.8142
Co 0.0000 0.8142 0.6361
Co 0.1781 0.3639 0.3639
Co 0.1858 0.1858 0.8219
Co 0.1858 0.8219 0.1858
Co 0.3639 0.1781 0.3639
Co 0.3639 0.3639 0.1781
Co 0.6361 0.0000 0.8142
Co 0.6361 0.8142 0.0000
Co 0.8142 0.0000 0.6361
Co 0.8142 0.6361 0.0000
Co 0.8219 0.1858 0.1858
Tc 0.0000 0.0000 0.0000
Tc 0.0000 0.0000 0.3578
Tc 0.0000 0.3154 0.6000
Tc 0.0000 0.3578 0.0000
Tc 0.0000 0.6000 0.3154
Tc 0.2846 0.6846 0.6846
Tc 0.3154 0.0000 0.6000
Tc 0.3154 0.6000 0.0000
Tc 0.3578 0.0000 0.0000
Tc 0.4000 0.4000 0.7154
Tc 0.4000 0.7154 0.4000
Tc 0.6000 0.0000 0.3154
Tc 0.6000 0.3154 0.0000
Tc 0.6422 0.6422 0.6422
Tc 0.6846 0.2846 0.6846
Tc 0.6846 0.6846 0.2846
Tc 0.7154 0.4000 0.4000
CELL_PARAMETERS angstrom
-4.4818 4.4818 4.4818
4.4818 -4.4818 4.4818
4.4818 4.4818 -4.4818



Entry 2:
! Rb2YBeC SCAN PBEsol geometry; values from VASP
! * V: 176.9 Å³/cell
! * size of the total moment: 0.000 μB per atom
! * formation energy: 1.1091 eV per atom
! * Fermi-level density of states: 0.789 states/eV per atom
&SYSTEM
  ibrav = 0, nat = 5, ntyp = 4
/
ATOMIC_SPECIES
Rb 85.47 Rb.upf
Y 88.91 Y.upf
Be 9.01 Be.upf
C 12.01 C.upf
ATOMIC_POSITIONS crystal
Rb 0.0000 0.5000 0.0000
Rb 0.5000 0.0000 0.0000
Y 0.0000 0.0000 0.5000
Be 0.5000 0.5000 0.5000
C 0.0000 0.0000 0.0000
CELL_PARAMETERS angstrom
6.3011 0.0000 0.0000
0.0000 6.3011 0.0000
0.0000 0.0000 4.4561



Entry 3:
! CuPt SCAN PBEsol geometry; values from VASP
! * V: 52.9 Å³/cell
! * size of the total moment: 0.000 μB per atom
! * formation energy: -0.0768 eV per atom
! * Fermi-level density of states: 0.953 states/eV per atom
&SYSTEM
  ibrav = 0, nat = 4, ntyp = 2
/
ATOMIC_SPECIES
Cu 63.55 Cu.upf
Pt 195.08 Pt.upf
ATOMIC_POSITIONS crystal
Cu 0.3844 0.1344 0.2500
Cu 0.6156 0.8656 0.7500
Pt 0.1339 0.3839 0.7500
Pt 0.8661 0.6161 0.2500
CELL_PARAMETERS angstrom
-1.3802 2.1828 4.3914
1.3802 -2.1828 4.3914
1.3802 2.1828 -4.3914



Entry 4:
! Cr2Tc SCAN PBEsol geometry; values from VASP
! * relative energy among the computed polymorphs: 9.7 meV/atom
! * V: 72.9 Å³/cell
! * size of the total moment: 0.000 μB per atom
! * formation energy: 0.0060 eV per atom
! * Fermi-level density of states: 0.911 states/eV per atom
&SYSTEM
  ibrav = 0, nat = 6, ntyp = 2
/
ATOMIC_SPECIES
Cr 52.00 Cr.upf
Tc 98.00 Tc.upf
ATOMIC_POSITIONS crystal
Cr 0.0919 0.9081 0.7500
Cr 0.2540 0.7460 0.2500
Cr 0.7460 0.2540 0.7500
Cr 0.9081 0.0919 0.2500
Tc 0.4173 0.5827 0.7500
Tc 0.5827 0.4173 0.2500
CELL_PARAMETERS angstrom
1.4458 -6.1203 0.0000
1.4458 6.1203 0.0000
0.0000 0.0000 4.1217



Entry 5:
! Ca4ZrIn SCAN PBEsol geometry; values from VASP
! * V: 185.7 Å³/cell
! * size of the total moment: 0.835 μB per atom
! * formation energy: 0.4101 eV per atom
! * Fermi-level density of states: 0.159 states/eV per atom
&SYSTEM
  ibrav = 0, nat = 6, ntyp = 3
/
ATOMIC_SPECIES
Ca 40.08 Ca.upf
Zr 91.22 Zr.upf
In 114.82 In.upf
ATOMIC_POSITIONS crystal
Ca 0.1246 0.1246 0.1246
Ca 0.1246 0.1246 0.6261
Ca 0.1246 0.6261 0.1246
Ca 0.6261 0.1246 0.1246
Zr 0.7500 0.7500 0.7500
In 0.5000 0.5000 0.5000
CELL_PARAMETERS angstrom
0.0000 4.5279 4.5279
4.5279 0.0000 4.5279
4.5279 4.5279 0.0000



Entry 6:
! MgSbPt2 SCAN PBEsol geometry; values from VASP
! * raw formation energy: -0.534 eV/atom
! * V: 69.1 Å³/cell
! * size of the total moment: 0.000 μB per atom
! * Fermi-level density of states: 0.307 states/eV per atom
&SYSTEM
  ibrav = 0, nat = 4, ntyp = 3
/
ATOMIC_SPECIES
Mg 24.30 Mg.upf
Sb 121.76 Sb.upf
Pt 195.08 Pt.upf
ATOMIC_POSITIONS crystal
Mg 0.0000 0.0000 0.0000
Sb 0.0000 0.0000 0.5000
Pt 0.5000 0.5000 0.2439
Pt 0.5000 0.5000 0.7561
CELL_PARAMETERS angstrom
3.4690 0.0000 0.0000
0.0000 3.4690 0.0000
0.0000 0.0000 5.7413



Entry 7:
! BaAs SCAN PBEsol geometry; values from VASP
! * V: 129.8 Å³/cell
! * size of the total moment: 0.000 μB per atom
! * formation energy: -1.1650 eV per atom
! * Fermi-level density of states: 0.006 states/eV per atom
&SYSTEM
  ibrav = 0, nat = 4, ntyp = 2
/
ATOMIC_SPECIES
Ba 137.33 Ba.upf
As 74.92 As.upf
ATOMIC_POSITIONS crystal
Ba 0.1274 0.1274 0.2289
Ba 0.8726 0.8726 0.7711
As 0.4121 0.4121 0.3219
As 0.5879 0.5879 0.6781
CELL_PARAMETERS angstrom
5.7555 -2.2738 0.0000
5.7555 2.2738 0.0000
-0.7448 0.0000 4.9578



Entry 8:
! CrInBi2 SCAN PBEsol geometry; values from VASP
! * V: 269.3 Å³/cell
! * size of the total moment: 0.746 μB per atom
! * formation energy: 0.3046 eV per atom
! * Fermi-level density of states: 0.445 states/eV per atom
&SYSTEM
  ibrav = 0, nat = 8, ntyp = 3
/
ATOMIC_SPECIES
Cr 52.00 Cr.upf
In 114.82 In.upf
Bi 208.98 Bi.upf
ATOMIC_POSITIONS crystal
Cr 0.0000 0.0000 0.0000
Cr 0.7500 0.2500 0.5000
In 0.2500 0.7500 0.5000
In 0.5000 0.5000 0.0000
Bi 0.0875 0.6250 0.9625
Bi 0.3750 0.3375 0.4625
Bi 0.6625 0.1250 0.0375
Bi 0.8750 0.9125 0.5375
CELL_PARAMETERS angstrom
-3.1490 3.1490 6.7891
3.1490 -3.1490 6.7891
3.1490 3.1490 -6.7891



- Number 3 is which compound?
  CuPt